1.
GGA+U Cr2GeF, optimized geometry; total DFT energy (no corrections) = -46.116 eV for the cell shown; total moment = 17.87 μB per cell; DOS(E_F) = 1.7 states/eV/cell
1.0
-3.224 3.224 3.355
3.224 -3.224 3.355
3.224 3.224 -3.355
Cr Ge F
4 2 2
Cartesian
4.837 1.306 -0.839
1.306 1.612 0.839
-1.612 1.918 2.516
1.918 1.612 4.194
3.224 0.000 1.677
0.000 0.000 3.355
0.000 0.000 0.000
0.000 3.224 1.677

***

2.
GGA+U CrGeF3, optimized geometry; total DFT energy (no corrections) = -25.411 eV for the cell shown; total moment = 5.00 μB per cell; DOS(E_F) = 0.1 states/eV/cell
1.0
4.376 0.000 0.000
0.000 4.376 0.000
0.000 0.000 4.376
Cr Ge F
1 1 3
Cartesian
0.000 0.000 0.000
2.188 2.188 2.188
0.000 2.188 2.188
2.188 0.000 2.188
2.188 2.188 0.000

***

3.
GGA+U CrGeF2, optimized geometry; total DFT energy (no corrections) = -21.371 eV for the cell shown; total moment = 3.95 μB per cell; DOS(E_F) = 3.6 states/eV/cell
1.0
1.606 0.927 8.292
-1.606 0.927 8.292
0.000 -1.855 8.292
Cr Ge F
1 1 2
Cartesian
0.000 0.000 0.000
0.000 0.000 12.438
0.000 0.000 9.303
0.000 0.000 15.574

***

4.
GGA+U CrGeIr2F, optimized geometry; total DFT energy (no corrections) = -24.798 eV for the cell shown; total moment = 1.56 μB per cell; DOS(E_F) = 4.3 states/eV/cell
1.0
4.480 0.000 0.000
0.000 4.480 0.000
0.000 0.000 4.883
Cr Ge Ir F
1 1 2 1
Cartesian
0.000 0.000 0.000
0.000 0.000 2.442
0.000 2.240 0.000
2.240 0.000 0.000
2.240 2.240 2.442

***

5.
GGA+U Cr2GeIrF, optimized geometry; total DFT energy (no corrections) = -27.447 eV for the cell shown; total moment = 8.24 μB per cell; DOS(E_F) = 4.7 states/eV/cell
1.0
5.027 0.000 0.000
0.000 5.027 0.000
0.000 0.000 4.511
Cr Ge Ir F
2 1 1 1
Cartesian
0.000 2.514 0.000
2.514 0.000 0.000
0.000 0.000 0.000
0.000 0.000 2.256
2.514 2.514 2.256

***

6.
GGA+U CrGeIr2F, optimized geometry; total DFT energy (no corrections) = -26.972 eV for the cell shown; total moment = 6.01 μB per cell; DOS(E_F) = 6.8 states/eV/cell
1.0
4.549 0.000 0.000
0.000 4.549 0.000
0.000 0.000 5.149
Cr Ge Ir F
1 1 2 1
Cartesian
0.000 0.000 0.000
0.000 0.000 2.575
0.000 2.275 2.575
2.275 0.000 2.575
2.275 2.275 0.000

***

- Which value of total moment does entry 3 give?
  3.95 μB per cell

***

- Which of these has the lowest total DFT energy (no corrections)?
  Cr2GeF

***

- Which of these has the highest total moment?
  Cr2GeF

***

- What is the formula in the second record?
  CrGeF3